VASP calculation (PBE+U) on an optimized crystal structure of Li5Mn3O8.

Unit cell a=6.4674 b=6.4674 c=9.7875 alpha=52.84 beta=52.84 gamma=25.94
Fractional coordinates of all 16 atoms:
Li 0.8790 0.8790 0.8606
Li 0.1210 0.1210 0.1394
Li 0.3853 0.3853 0.3740
Li 0.6147 0.6147 0.6260
Li 0.0000 0.0000 0.5000
Mn 0.7424 0.7424 0.2571
Mn 0.2576 0.2576 0.7429
Mn 0.5000 0.5000 0.0000
O 0.9377 0.9377 0.1723
O 0.1986 0.1986 0.4151
O 0.4230 0.4230 0.6946
O 0.6902 0.6902 0.9172
O 0.8014 0.8014 0.5849
O 0.0623 0.0623 0.8277
O 0.3098 0.3098 0.0828
O 0.5770 0.5770 0.3054

Summary:
energy relative to the lowest polymorph listed for this composition = 86 meV per atom
total energy = -98.986 eV/cell

VASP calculation (PBE+U) on an optimized crystal structure of LiMnO2.

Unit cell a=5.9487 b=6.0165 c=10.2437 alpha=90.42 beta=105.67 gamma=120.28
Fractional coordinates of all 32 atoms:
Li 0.0076 0.2488 0.7497
Li 0.9924 0.7512 0.2503
Li 0.5000 0.0000 0.0000
Li 0.5000 0.5000 0.5000
Li 0.0000 0.5000 0.0000
Li 0.0000 0.0000 0.5000
Li 0.0330 0.7578 0.7648
Li 0.9670 0.2422 0.2352
Mn 0.0000 0.5000 0.5000
Mn 0.0000 0.0000 0.0000
Mn 0.5118 0.2575 0.7514
Mn 0.4882 0.7425 0.2486
Mn 0.5090 0.7508 0.7498
Mn 0.4910 0.2492 0.2502
Mn 0.5000 0.0000 0.5000
Mn 0.5000 0.5000 0.0000
O 0.7159 0.8806 0.6192
O 0.7097 0.3747 0.1252
O 0.2841 0.1194 0.3808
O 0.2903 0.6253 0.8748
O 0.7704 0.6178 0.8713
O 0.7363 0.0982 0.3821
O 0.2296 0.3821 0.1286
O 0.2637 0.9018 0.6178
O 0.2699 0.1446 0.8774
O 0.2640 0.6516 0.3843
O 0.2460 0.9029 0.1261
O 0.2544 0.4077 0.6244
O 0.7301 0.8554 0.1226
O 0.7360 0.3484 0.6157
O 0.7540 0.0971 0.8739
O 0.7456 0.5923 0.3756

Summary:
total energy = -210.941 eV/cell
D(E_F) = 0.064 states/eV/atom

VASP calculation (PBE+U) on an optimized crystal structure of LiMn6O8.

Unit cell a=3.1944 b=8.1712 c=8.1712 alpha=120.00 beta=90.00 gamma=90.00
Fractional coordinates of all 15 atoms:
Li 0.5000 0.0000 0.0000
Mn 0.7390 0.5490 0.6829
Mn 0.7390 0.3171 0.8661
Mn 0.7390 0.1339 0.4510
Mn 0.2610 0.4510 0.3171
Mn 0.2610 0.6829 0.1339
Mn 0.2610 0.8661 0.5490
O 0.7810 0.6483 0.9647
O 0.7810 0.0353 0.6836
O 0.7810 0.3164 0.3517
O 0.2190 0.3517 0.0353
O 0.2190 0.9647 0.3164
O 0.2190 0.6836 0.6483
O 0.6329 0.6667 0.3333
O 0.3671 0.3333 0.6667

Summary:
total energy = -108.485 eV/cell
D(E_F) = 0.324 states/eV/atom

VASP calculation (PBE+U) on an optimized crystal structure of Li7Mn5O12.

Unit cell a=2.8884 b=2.8884 c=29.6111 alpha=89.78 beta=89.78 gamma=60.18
Fractional coordinates of all 24 atoms:
Li 0.8344 0.8344 0.9166
Li 0.1656 0.1656 0.0834
Li 0.4982 0.4982 0.2526
Li 0.8325 0.8325 0.4183
Li 0.1675 0.1675 0.5817
Li 0.5018 0.5018 0.7474
Li 0.5000 0.5000 0.0000
Mn 0.1684 0.1684 0.8277
Mn 0.8316 0.8316 0.1723
Mn 0.1648 0.1648 0.3364
Mn 0.5000 0.5000 0.5000
Mn 0.8352 0.8352 0.6636
O 0.5015 0.5015 0.8626
O 0.8326 0.8326 0.0454
O 0.1645 0.1645 0.2101
O 0.5019 0.5019 0.3734
O 0.8369 0.8369 0.5369
O 0.1724 0.1724 0.7000
O 0.1674 0.1674 0.9546
O 0.4985 0.4985 0.1374
O 0.8276 0.8276 0.3000
O 0.1631 0.1631 0.4631
O 0.4981 0.4981 0.6266
O 0.8355 0.8355 0.7899

Summary:
energy relative to the lowest polymorph listed for this composition = 385 meV per atom
total energy = -144.127 eV/cell
D(E_F) = 0.268 states/eV/atom